Below is an optimized crystal structure of Rb5Pb, with properties calculated at the PBE level.

Cell and atoms, written as POSCAR:
```
Rb5Pb
1.0
3.2679 -8.8401 0.0000
3.2679 8.8401 0.0000
0.0000 0.0000 6.6729
Rb Pb
5 1
Direct
0.0000 0.0000 0.0000
0.1403 0.8597 0.5000
0.3594 0.6406 0.0000
0.6406 0.3594 0.0000
0.8597 0.1403 0.5000
0.5000 0.5000 0.5000
```

Total energy = -0.0515 hartree per atom


Below is an optimized crystal structure of La8NdDy2, with properties calculated at the PBE level.

Cell and atoms, written as POSCAR:
```
La8NdDy2
1.0
5.2530 -6.9109 0.0000
5.2530 6.9109 0.0000
-0.0145 0.0000 5.5925
La Nd Dy
8 1 2
Direct
0.1668 0.1668 0.0002
0.1995 0.4693 0.4994
0.2428 0.7572 0.0000
0.4693 0.1995 0.4994
0.5307 0.8005 0.5006
0.7572 0.2428 0.0000
0.8005 0.5307 0.5006
0.8332 0.8332 0.9998
0.5000 0.5000 0.0000
0.1176 0.8824 0.5000
0.8824 0.1176 0.5000
```

Energy relative to the lowest polymorph listed for this composition = 0.000 eV/atom
Total energy = -0.1735 hartree per atom


Below is an optimized crystal structure of CaAcF, with properties calculated at the PBE level.

Cell and atoms, written as POSCAR:
```
CaAcF
1.0
3.9112 0.0000 0.0000
-1.9556 3.3872 0.0000
0.0000 0.0000 7.4741
Ca Ac F
1 1 1
Direct
0.0000 0.0000 0.0000
0.3333 0.6667 0.5020
0.6667 0.3333 0.0055
```

Formation energy (no corrections) = -1.646 eV/atom
Energy relative to the lowest polymorph listed for this composition = 0.064 eV/atom
Total energy = -0.1582 hartree per atom


Below is an optimized crystal structure of KHfBi2, with properties calculated at the PBE level.

Cell and atoms, written as POSCAR:
```
KHfBi2
1.0
2.0327 1.1736 9.2643
-2.0327 1.1736 9.2643
0.0000 -2.3471 9.2643
K Hf Bi
1 1 2
Direct
0.0000 0.0000 0.0000
0.1679 0.1679 0.1679
0.5690 0.5690 0.5690
0.7659 0.7659 0.7659
```

Energy relative to the lowest polymorph listed for this composition = 0.002 eV/atom
Total energy = -0.1803 hartree per atom


Below is an optimized crystal structure of NpTlPb2O8, with properties calculated at the PBE level.

Cell and atoms, written as POSCAR:
```
NpTlPb2O8
1.0
3.5439 -3.7055 0.0000
3.5439 3.7055 0.0000
0.0000 0.0000 7.2716
Np Tl Pb O
1 1 2 8
Direct
0.0000 0.0000 0.0000
0.0000 0.0000 0.5000
0.5000 0.5000 0.2476
0.5000 0.5000 0.7524
0.1803 0.8197 0.2053
0.1803 0.8197 0.7947
0.2968 0.2968 0.0000
0.2983 0.2983 0.5000
0.7017 0.7017 0.5000
0.7032 0.7032 0.0000
0.8197 0.1803 0.2053
0.8197 0.1803 0.7947
```

Formation energy (no corrections) = -1.450 eV/atom
Total energy = -0.2444 hartree per atom


Below is an optimized crystal structure of Tb3CeY6, with properties calculated at the PBE level.

Cell and atoms, written as POSCAR:
```
Tb3CeY6
1.0
5.3115 -9.6129 0.0000
5.3115 9.6129 0.0000
0.0000 0.0000 6.3150
Tb Ce Y
6 2 12
Direct
0.1157 0.8843 0.5000
0.2031 0.4326 0.1783
0.4326 0.2031 0.6783
0.5674 0.7969 0.1783
0.7969 0.5674 0.6783
0.8843 0.1157 0.0000
0.2871 0.7129 0.3925
0.7129 0.2871 0.8925
0.0701 0.4835 0.7381
0.1304 0.2101 0.5918
0.1913 0.8087 0.9631
0.2101 0.1304 0.0918
0.4491 0.5509 0.7148
0.4835 0.0701 0.2381
0.5165 0.9299 0.7381
0.5509 0.4491 0.2148
0.7899 0.8696 0.5918
0.8087 0.1913 0.4631
0.8696 0.7899 0.0918
0.9299 0.5165 0.2381
```

Energy relative to the lowest polymorph listed for this composition = 0.014 eV/atom
Total energy = -0.2096 hartree per atom